A plane-wave DFT calculation with PBE was carried out for a relaxed AcTiSn crystal.

Lattice parameters (Å, degrees): 9.159 8.246 7.333 71.74 58.76 49.50
Positions (direct):
Ac1 0.000 0.000 0.000
Ac2 0.000 0.000 0.500
Ac3 0.000 0.500 0.000
Ac4 0.500 0.000 0.000
Ti1 0.257 0.493 0.257
Ti2 0.493 0.257 0.493
Ti3 0.507 0.743 0.507
Ti4 0.743 0.507 0.743
Sn1 0.201 0.201 0.549
Sn2 0.451 0.451 0.799
Sn3 0.549 0.549 0.201
Sn4 0.799 0.799 0.451

DFT formation energy = -0.42 eV per formula unit
total moment = 0.000 μB per formula unit

A plane-wave DFT calculation with PBE was carried out for a relaxed SbMoP2 crystal.

Lattice parameters (Å, degrees): 5.084 5.084 5.084 133.27 133.27 68.24
Positions (direct):
Sb1 0.000 0.000 0.000
Mo1 0.250 0.750 0.500
P1 0.500 0.500 0.000
P2 0.750 0.250 0.500

formation energy from raw total energies = 0.62 eV per atom
total moment = 0.926 μB per formula unit

A plane-wave DFT calculation with PBE was carried out for a relaxed Li2CdReBr crystal.

Lattice parameters (Å, degrees): 4.487 4.487 4.985 90.00 90.00 90.00
Positions (direct):
Li1 0.000 0.500 0.000
Li2 0.500 0.000 0.000
Cd1 0.000 0.000 0.500
Re1 0.500 0.500 0.500
Br1 0.500 0.500 0.000

formation energy from raw total energies = 0.62 eV per atom
total moment = 1.621 μB per formula unit

A plane-wave DFT calculation with PBE was carried out for a relaxed CaEuIrPd crystal.

Lattice parameters (Å, degrees): 4.965 4.965 4.965 60.00 60.00 60.00
Positions (direct):
Ca1 0.000 0.000 0.000
Eu1 0.500 0.500 0.500
Ir1 0.750 0.750 0.750
Pd1 0.250 0.250 0.250

DFT formation energy = -1.59 eV per formula unit
total moment = 6.606 μB per formula unit

A plane-wave DFT calculation with PBE was carried out for a relaxed SiAsPRh2C crystal.

Lattice parameters (Å, degrees): 3.143 5.528 5.104 90.00 107.97 90.00
Positions (direct):
Si1 0.000 0.000 0.000
As1 0.444 0.500 0.879
P1 0.157 0.500 0.316
Rh1 0.780 0.248 0.559
Rh2 0.780 0.752 0.559
C1 0.607 0.000 0.213

formation energy from raw total energies = 0.03 eV per atom
total moment = 0.000 μB per formula unit
relative energy among the computed polymorphs = 302.2 meV per atom

A plane-wave DFT calculation with PBE was carried out for a relaxed CeEu3 crystal.

Lattice parameters (Å, degrees): 6.082 6.082 6.082 60.00 60.00 60.00
Positions (direct):
Ce1 0.000 0.000 0.000
Eu1 0.250 0.250 0.250
Eu2 0.500 0.500 0.500
Eu3 0.750 0.750 0.750

DFT formation energy = 1.01 eV per formula unit
total moment = 20.604 μB per formula unit
relative energy among the computed polymorphs = 80.8 meV per atom

A plane-wave DFT calculation with PBE was carried out for a relaxed TaMn2Mo crystal.

Lattice parameters (Å, degrees): 2.723 2.723 8.128 90.00 90.00 108.81
Positions (direct):
Ta1 0.000 0.000 0.000
Mn1 0.500 0.500 0.255
Mn2 0.500 0.500 0.745
Mo1 0.000 0.000 0.500

DFT formation energy = 0.44 eV per formula unit
total moment = 2.081 μB per formula unit
relative energy among the computed polymorphs = 144.9 meV per atom

A plane-wave DFT calculation with PBE was carried out for a relaxed Tb12CeDy2 crystal.

Lattice parameters (Å, degrees): 6.643 6.643 24.290 92.25 92.25 115.31
Positions (direct):
Tb1 0.051 0.551 0.200
Tb2 0.082 0.585 0.329
Tb3 0.135 0.641 0.556
Tb4 0.146 0.146 0.573
Tb5 0.220 0.220 0.865
Tb6 0.225 0.738 0.927
Tb7 0.262 0.775 0.073
Tb8 0.289 0.289 0.135
Tb9 0.359 0.359 0.423
Tb10 0.359 0.865 0.444
Tb11 0.415 0.918 0.671
Tb12 0.449 0.949 0.800
Tb13 0.551 0.051 0.200
Tb14 0.585 0.082 0.329
Tb15 0.641 0.135 0.556
Tb16 0.641 0.641 0.577
Tb17 0.711 0.711 0.865
Tb18 0.738 0.225 0.927
Tb19 0.775 0.262 0.073
Tb20 0.780 0.780 0.135
Tb21 0.854 0.854 0.427
Tb22 0.865 0.359 0.444
Tb23 0.918 0.415 0.671
Tb24 0.949 0.449 0.800
Ce1 0.307 0.307 0.000
Ce2 0.693 0.693 0.000
Dy1 0.070 0.070 0.270
Dy2 0.433 0.433 0.730
Dy3 0.567 0.567 0.270
Dy4 0.930 0.930 0.730

DFT formation energy = 1.80 eV per formula unit
total moment = 0.696 μB per formula unit